# 1
## KMgSe2 (PBE)

Data for a geometry-optimized KMgSe2 structure.

extended XYZ file:
```
8
Lattice="7.5345 0.0000 0.0000 0.0000 3.3765 0.0000 -1.5969 0.0000 7.9971" Properties=species:S:1:pos:R:3 pbc="T T T"
K 0.0000 0.0000 0.0000
K 3.7673 1.6882 0.0000
Mg -0.7985 1.6882 3.9985
Mg 2.9688 0.0000 3.9985
Se 0.6434 0.0000 5.6089
Se 1.5269 1.6882 2.3882
Se 4.4107 1.6882 5.6089
Se 5.2942 0.0000 2.3882
```

## Properties
Space group ... No. 12
Formation energy without anion corrections ... -0.95 eV per atom
Density ... 3.6 Mg/m³

# 2
## KMgSe2 (PBE)

Data for a geometry-optimized KMgSe2 structure.

extended XYZ file:
```
8
Lattice="4.2146 0.0000 0.0000 0.0000 5.8395 0.0000 0.0000 0.0000 8.2958" Properties=species:S:1:pos:R:3 pbc="T T T"
K 0.0000 0.0000 0.0000
K 2.1073 2.9197 0.0000
Mg 0.0000 0.0000 4.1479
Mg 2.1073 2.9197 4.1479
Se 0.0000 2.9197 2.4239
Se 0.0000 2.9197 5.8719
Se 2.1073 0.0000 2.4239
Se 2.1073 0.0000 5.8719
```

## Properties
Space group ... No. 65
Formation energy without anion corrections ... -0.79 eV per atom
Density ... 3.6 Mg/m³

# 3
## K2MgSiSe4 (PBE)

Data for a geometry-optimized K2MgSiSe4 structure.

extended XYZ file:
```
16
Lattice="-3.9952 4.3296 5.8101 3.9952 -4.3296 5.8101 3.9952 4.3296 -5.8101" Properties=species:S:1:pos:R:3 pbc="T T T"
K 0.0000 0.0000 0.0000
K -1.9976 2.1648 2.9051
K 0.0000 4.3296 0.0000
K 1.9976 2.1648 2.9051
Mg 3.9952 0.0000 0.0000
Mg 0.0000 0.0000 5.8101
Si 1.9976 2.1648 -2.9051
Si 1.9976 -2.1648 2.9051
Se 3.9952 -0.4295 2.7792
Se 3.9952 3.9001 -2.7792
Se 2.1765 2.1648 -0.4043
Se 5.8139 2.1648 -0.4043
Se -1.8187 2.1648 6.2145
Se 1.8187 2.1648 6.2145
Se 0.0000 0.4295 8.5893
Se 0.0000 4.7591 3.0309
```

## Properties
Space group ... No. 74
Formation energy without anion corrections ... -0.75 eV per atom
Density ... 3.7 Mg/m³

# 4
## KSmMgSe3 (PBE)

Data for a geometry-optimized KSmMgSe3 structure.

extended XYZ file:
```
12
Lattice="9.1285 0.0000 0.0000 0.0000 4.3139 0.0000 -2.8456 0.0000 9.7508" Properties=species:S:1:pos:R:3 pbc="T T T"
K 1.2121 1.0785 2.1326
K 5.0708 3.2354 7.6182
Sm 0.5751 3.2354 8.4079
Sm 5.7078 1.0785 1.3429
Mg -0.9521 1.0785 5.9149
Mg 7.2350 3.2354 3.8359
Se -1.4528 1.0785 8.4018
Se 0.3347 3.2354 5.2478
Se 3.7275 3.2354 1.5204
Se 2.5553 1.0785 8.2304
Se 5.9482 1.0785 4.5030
Se 7.7357 3.2354 1.3491
```

## Properties
Space group ... No. 11
Formation energy without anion corrections ... -1.55 eV per atom
Density ... 3.9 Mg/m³